## TlAgTe (PBE)

Data for TlAgTe after structural relaxation.

Cell and atoms, written as POSCAR:
```
TlAgTe
1.0
-3.534 0.088 -3.555
-0.853 -4.078 -2.788
-4.235 -2.613 0.610
Tl Te Ag
1 1 1
direct
0.500 0.500 0.500
0.000 0.000 0.000
0.750 0.750 0.750
```

Summary:
Polymorph energy (0 for the lowest one), eV/atom: 0.072
E_form (uncorrected), kJ per mole of atoms: -13

## YCo3H (PBE)

Data for YCo3H after structural relaxation.

Cell and atoms, written as POSCAR:
```
YCo3H
1.0
-3.310 1.215 -3.256
2.712 -1.909 -3.469
-2.173 -4.233 0.630
Y H Co
1 1 3
direct
0.000 0.000 0.000
0.500 0.500 0.500
0.000 0.500 0.000
0.000 0.000 0.500
0.500 0.000 0.000
```

Summary:
Polymorph energy (0 for the lowest one), eV/atom: 2.235

## CrCuGePd2 (PBE)

Data for CrCuGePd2 after structural relaxation.

Cell and atoms, written as POSCAR:
```
CrCuGePd2
1.0
4.621 0.000 0.000
0.000 4.250 0.000
0.000 0.000 4.621
Cr Ge Cu Pd
1 1 1 2
direct
0.000 0.500 0.000
0.500 0.500 0.500
0.000 0.000 0.000
0.000 0.000 0.500
0.500 0.000 0.000
```

Summary:
Energy of formation from the pure elements, kcal/mol of atoms: 23.3

## CdIn4Pb6 (PBE)

Data for CdIn4Pb6 after structural relaxation.

Cell and atoms, written as POSCAR:
```
CdIn4Pb6
1.0
3.499 0.000 0.000
0.000 9.110 -5.255
0.000 -0.004 10.517
Cd In Pb
1 4 6
direct
0.000 0.000 0.000
0.000 0.667 0.334
0.500 0.166 0.332
0.500 0.166 0.834
0.500 0.668 0.834
0.500 0.821 0.642
0.500 0.821 0.179
0.500 0.358 0.179
0.000 0.474 0.947
0.000 0.474 0.526
0.000 0.053 0.526
```

Summary:
Energy of formation from the pure elements, kcal/mol of atoms: 1.8

## Cd2PAu (PBE)

Data for Cd2PAu after structural relaxation.

Cell and atoms, written as POSCAR:
```
Cd2PAu
1.0
3.108 0.148 0.000
-0.100 3.110 0.000
0.000 0.000 8.082
Au Cd P
1 2 1
direct
0.500 0.500 0.750
0.000 0.000 0.002
0.000 0.000 0.498
0.500 0.500 0.250
```

Summary:
Energy of formation from the pure elements, kcal/mol of atoms: 3.8

## CsBiCl4 (PBE)

Data for CsBiCl4 after structural relaxation.

Cell and atoms, written as POSCAR:
```
CsBiCl4
1.0
-6.599 -3.990 3.683
7.972 -6.254 -1.562
1.751 6.709 5.026
Cs Bi Cl
2 2 8
direct
0.378 0.628 0.256
0.622 0.372 0.744
0.241 0.991 0.981
0.759 0.009 0.019
0.896 0.298 0.033
0.829 0.859 0.731
0.638 0.735 0.033
0.402 0.871 0.731
0.598 0.129 0.269
0.362 0.265 0.967
0.171 0.141 0.269
0.104 0.702 0.967
```

Summary:
Polymorph energy (0 for the lowest one), eV/atom: 0.025
E_form (uncorrected), kJ per mole of atoms: -130

## CsUHSe3 (PBE)

Data for CsUHSe3 after structural relaxation.

Cell and atoms, written as POSCAR:
```
CsUHSe3
1.0
-2.690 -2.004 -2.038
0.382 -6.946 6.327
-7.370 5.715 4.105
Cs U H Se
2 2 2 6
direct
0.250 0.160 0.281
0.750 0.840 0.719
0.250 0.666 0.134
0.750 0.334 0.866
0.250 0.240 0.606
0.750 0.760 0.394
0.750 0.857 0.088
0.250 0.143 0.912
0.250 0.767 0.407
0.750 0.233 0.593
0.750 0.450 0.147
0.250 0.550 0.853
```

Summary:
Electronic total energy, eV per atom: -5.169

## SrNb2IO (PBE)

Data for SrNb2IO after structural relaxation.

Cell and atoms, written as POSCAR:
```
SrNb2IO
1.0
5.205 0.000 0.000
0.000 4.702 0.000
0.000 0.000 5.205
I Sr Nb O
1 1 2 1
direct
0.000 0.000 0.000
0.500 0.500 0.500
0.000 0.000 0.500
0.500 0.000 0.000
0.000 0.500 0.000
```

Summary:
E_form (uncorrected), kJ per mole of atoms: 108